(i)
# BeSbN2 (PBE-GGA, relaxed)
data_BeSbN2
_space_group_name_H-M_alt 'F m -3 m'
_space_group_IT_number 225
_space_group_name_Hall '-F 4 2 3'
_cell_length_a 5.4876
_cell_length_b 5.4876
_cell_length_c 5.4876
_cell_angle_alpha 90.00
_cell_angle_beta 90.00
_cell_angle_gamma 90.00
loop_
_atom_site_label
_atom_site_type_symbol
_atom_site_fract_x
_atom_site_fract_y
_atom_site_fract_z
Be1 Be 0.0000 0.0000 0.0000
Sb1 Sb 0.0000 0.0000 0.5000
N1 N 0.2500 0.2500 0.2500
# N(E_F) ... 0.53 states/eV per atom

(ii)
# BeSbN2 (PBE-GGA, relaxed)
data_BeSbN2
_space_group_name_H-M_alt 'R -3 m'
_space_group_IT_number 166
_space_group_name_Hall '-R 3 2"'
_cell_length_a 3.4152
_cell_length_b 3.4152
_cell_length_c 16.0451
_cell_angle_alpha 90.00
_cell_angle_beta 90.00
_cell_angle_gamma 120.00
loop_
_atom_site_label
_atom_site_type_symbol
_atom_site_fract_x
_atom_site_fract_y
_atom_site_fract_z
Be1 Be 0.0000 0.0000 0.0000
Sb1 Sb 0.0000 0.0000 0.5000
N1 N 0.0000 0.0000 0.0961
# N(E_F) ... 0.47 states/eV per atom

Which of them is least stable? Easy: (i).

(i)
# BeSb2N (PBE-GGA, relaxed)
data_BeSb2N
_space_group_name_H-M_alt 'F m -3 m'
_space_group_IT_number 225
_space_group_name_Hall '-F 4 2 3'
_cell_length_a 6.3934
_cell_length_b 6.3934
_cell_length_c 6.3934
_cell_angle_alpha 90.00
_cell_angle_beta 90.00
_cell_angle_gamma 90.00
loop_
_atom_site_label
_atom_site_type_symbol
_atom_site_fract_x
_atom_site_fract_y
_atom_site_fract_z
Be1 Be 0.0000 0.0000 0.0000
Sb1 Sb 0.2500 0.2500 0.2500
N1 N 0.0000 0.0000 0.5000
# N(E_F) ... 0.57 states/eV per atom

(ii)
# BeSb2N (PBE-GGA, relaxed)
data_BeSb2N
_space_group_name_H-M_alt 'I -4 2 d'
_space_group_IT_number 122
_space_group_name_Hall 'I -4 2bw'
_cell_length_a 5.2878
_cell_length_b 5.2878
_cell_length_c 11.1269
_cell_angle_alpha 90.00
_cell_angle_beta 90.00
_cell_angle_gamma 90.00
loop_
_atom_site_label
_atom_site_type_symbol
_atom_site_fract_x
_atom_site_fract_y
_atom_site_fract_z
Be1 Be 0.0000 0.0000 0.0000
Sb1 Sb 0.2291 0.2500 0.6250
N1 N 0.0000 0.0000 0.5000
# N(E_F) ... 0.62 states/eV per atom

Which of them is least stable? Easy: (i).

(i)
# BeSbSe2N (PBE-GGA, relaxed)
data_BeSbSe2N
_space_group_name_H-M_alt 'P 4/m m m'
_space_group_IT_number 123
_space_group_name_Hall '-P 4 2'
_cell_length_a 5.2124
_cell_length_b 5.2124
_cell_length_c 3.1932
_cell_angle_alpha 90.00
_cell_angle_beta 90.00
_cell_angle_gamma 90.00
loop_
_atom_site_label
_atom_site_type_symbol
_atom_site_fract_x
_atom_site_fract_y
_atom_site_fract_z
Be1 Be 0.0000 0.0000 0.0000
Sb1 Sb 0.5000 0.5000 0.5000
Se1 Se 0.0000 0.5000 0.0000
N1 N 0.0000 0.0000 0.5000
# N(E_F) ... 0.91 states/eV per atom

(ii)
# BeSbSe2N (PBE-GGA, relaxed)
data_BeSbSe2N
_space_group_name_H-M_alt 'P 4/m m m'
_space_group_IT_number 123
_space_group_name_Hall '-P 4 2'
_cell_length_a 5.3414
_cell_length_b 5.3414
_cell_length_c 3.8862
_cell_angle_alpha 90.00
_cell_angle_beta 90.00
_cell_angle_gamma 90.00
loop_
_atom_site_label
_atom_site_type_symbol
_atom_site_fract_x
_atom_site_fract_y
_atom_site_fract_z
Be1 Be 0.0000 0.0000 0.0000
Sb1 Sb 0.5000 0.5000 0.5000
Se1 Se 0.0000 0.5000 0.5000
N1 N 0.5000 0.5000 0.0000
# N(E_F) ... 0.81 states/eV per atom

Which of them is least stable? Easy: (ii).

(i)
# BeSbTe2N (PBE-GGA, relaxed)
data_BeSbTe2N
_space_group_name_H-M_alt 'P 4/m m m'
_space_group_IT_number 123
_space_group_name_Hall '-P 4 2'
_cell_length_a 5.8754
_cell_length_b 5.8754
_cell_length_c 3.0997
_cell_angle_alpha 90.00
_cell_angle_beta 90.00
_cell_angle_gamma 90.00
loop_
_atom_site_label
_atom_site_type_symbol
_atom_site_fract_x
_atom_site_fract_y
_atom_site_fract_z
Be1 Be 0.0000 0.0000 0.0000
Sb1 Sb 0.5000 0.5000 0.5000
Te1 Te 0.0000 0.5000 0.0000
N1 N 0.0000 0.0000 0.5000
# N(E_F) ... 0.76 states/eV per atom

(ii)
# BeSbTe2N (PBE-GGA, relaxed)
data_BeSbTe2N
_space_group_name_H-M_alt 'P 4/m m m'
_space_group_IT_number 123
_space_group_name_Hall '-P 4 2'
_cell_length_a 4.6651
_cell_length_b 4.6651
_cell_length_c 4.8314
_cell_angle_alpha 90.00
_cell_angle_beta 90.00
_cell_angle_gamma 90.00
loop_
_atom_site_label
_atom_site_type_symbol
_atom_site_fract_x
_atom_site_fract_y
_atom_site_fract_z
Be1 Be 0.0000 0.0000 0.0000
Sb1 Sb 0.5000 0.5000 0.0000
Te1 Te 0.0000 0.5000 0.5000
N1 N 0.5000 0.5000 0.5000
# N(E_F) ... 0.80 states/eV per atom

(iii)
# BeSbTe2N (PBE-GGA, relaxed)
data_BeSbTe2N
_space_group_name_H-M_alt 'P 4/m m m'
_space_group_IT_number 123
_space_group_name_Hall '-P 4 2'
_cell_length_a 5.8161
_cell_length_b 5.8161
_cell_length_c 3.8832
_cell_angle_alpha 90.00
_cell_angle_beta 90.00
_cell_angle_gamma 90.00
loop_
_atom_site_label
_atom_site_type_symbol
_atom_site_fract_x
_atom_site_fract_y
_atom_site_fract_z
Be1 Be 0.0000 0.0000 0.0000
Sb1 Sb 0.5000 0.5000 0.5000
Te1 Te 0.0000 0.5000 0.5000
N1 N 0.5000 0.5000 0.0000
# N(E_F) ... 0.73 states/eV per atom

Which of them is least stable? Easy: (iii).

(i)
# Sc2BeN (PBE-GGA, relaxed)
data_Sc2BeN
_space_group_name_H-M_alt 'R -3 m'
_space_group_IT_number 166
_space_group_name_Hall '-R 3 2"'
_cell_length_a 3.1549
_cell_length_b 3.1549
_cell_length_c 23.6285
_cell_angle_alpha 90.00
_cell_angle_beta 90.00
_cell_angle_gamma 120.00
loop_
_atom_site_label
_atom_site_type_symbol
_atom_site_fract_x
_atom_site_fract_y
_atom_site_fract_z
Sc1 Sc 0.0000 0.0000 0.1157
Be1 Be 0.0000 0.0000 0.0000
N1 N 0.0000 0.0000 0.5000
# N(E_F) ... 0.94 states/eV per atom

(ii)
# Sc2BeN (PBE-GGA, relaxed)
data_Sc2BeN
_space_group_name_H-M_alt 'F m -3 m'
_space_group_IT_number 225
_space_group_name_Hall '-F 4 2 3'
_cell_length_a 6.0189
_cell_length_b 6.0189
_cell_length_c 6.0189
_cell_angle_alpha 90.00
_cell_angle_beta 90.00
_cell_angle_gamma 90.00
loop_
_atom_site_label
_atom_site_type_symbol
_atom_site_fract_x
_atom_site_fract_y
_atom_site_fract_z
Sc1 Sc 0.2500 0.2500 0.2500
Be1 Be 0.0000 0.0000 0.0000
N1 N 0.0000 0.0000 0.5000
# N(E_F) ... 0.82 states/eV per atom

(iii)
# Sc2BeN (PBE-GGA, relaxed)
data_Sc2BeN
_space_group_name_H-M_alt 'I -4 2 d'
_space_group_IT_number 122
_space_group_name_Hall 'I -4 2bw'
_cell_length_a 6.1183
_cell_length_b 6.1183
_cell_length_c 7.0671
_cell_angle_alpha 90.00
_cell_angle_beta 90.00
_cell_angle_gamma 90.00
loop_
_atom_site_label
_atom_site_type_symbol
_atom_site_fract_x
_atom_site_fract_y
_atom_site_fract_z
Sc1 Sc 0.1799 0.2500 0.1250
Be1 Be 0.0000 0.0000 0.5000
N1 N 0.0000 0.0000 0.0000
# N(E_F) ... 0.72 states/eV per atom

(iv)
# Sc2BeN (PBE-GGA, relaxed)
data_Sc2BeN
_space_group_name_H-M_alt 'R -3 m'
_space_group_IT_number 166
_space_group_name_Hall '-R 3 2"'
_cell_length_a 3.6893
_cell_length_b 3.6893
_cell_length_c 21.8784
_cell_angle_alpha 90.00
_cell_angle_beta 90.00
_cell_angle_gamma 120.00
loop_
_atom_site_label
_atom_site_type_symbol
_atom_site_fract_x
_atom_site_fract_y
_atom_site_fract_z
Sc1 Sc 0.0000 0.0000 0.0845
Be1 Be 0.0000 0.0000 0.5000
N1 N 0.0000 0.0000 0.0000
# N(E_F) ... 0.97 states/eV per atom

Which of them is least stable? Easy: (iv).

(i)
# ScBeSeN2 (PBE-GGA, relaxed)
data_ScBeSeN2
_space_group_name_H-M_alt 'P 4/m m m'
_space_group_IT_number 123
_space_group_name_Hall '-P 4 2'
_cell_length_a 3.6106
_cell_length_b 3.6106
_cell_length_c 4.9021
_cell_angle_alpha 90.00
_cell_angle_beta 90.00
_cell_angle_gamma 90.00
loop_
_atom_site_label
_atom_site_type_symbol
_atom_site_fract_x
_atom_site_fract_y
_atom_site_fract_z
Sc1 Sc 0.0000 0.0000 0.0000
Be1 Be 0.5000 0.5000 0.5000
Se1 Se 0.5000 0.5000 0.0000
N1 N 0.0000 0.5000 0.5000
# N(E_F) ... 0.78 states/eV per atom

(ii)
# ScBeSeN2 (PBE-GGA, relaxed)
data_ScBeSeN2
_space_group_name_H-M_alt 'P 4/m m m'
_space_group_IT_number 123
_space_group_name_Hall '-P 4 2'
_cell_length_a 3.9515
_cell_length_b 3.9515
_cell_length_c 5.7574
_cell_angle_alpha 90.00
_cell_angle_beta 90.00
_cell_angle_gamma 90.00
loop_
_atom_site_label
_atom_site_type_symbol
_atom_site_fract_x
_atom_site_fract_y
_atom_site_fract_z
Sc1 Sc 0.0000 0.0000 0.0000
Be1 Be 0.5000 0.5000 0.5000
Se1 Se 0.0000 0.0000 0.5000
N1 N 0.0000 0.5000 0.0000
# N(E_F) ... 0.48 states/eV per atom

Which of them is least stable? Easy: (ii).